1.
First-principles (PBE) data for a geometry-optimized Th8Sn2Ir structure, as listed in Alexandria via LeMat-Bulk.

It has space group C2/m (No. 12), with a = 18.9582 Å, b = 5.4870 Å, c = 6.7663 Å, α = 90.00°, β = 109.47° and γ = 90.00°. The asymmetric unit holds Th at (0.0068, 0.0000, 0.2438), Th at (0.0885, 0.5000, 0.7307), Th at (0.1437, 0.5000, 0.3039), Th at (0.2230, 0.0000, 0.1289), Sn at (0.1727, 0.0000, 0.6119) and Ir at (0.0000, 0.5000, 0.0000).

For the total energy, the calculation gives -158.22 eV for the cell shown. The volume is 663.6 Å³ per cell.

2.
First-principles (PBE) data for a geometry-optimized Th4SnIr2 structure, as listed in Alexandria via LeMat-Bulk.

It has space group Cmcm (No. 63), with a = 4.2731 Å, b = 13.4877 Å, c = 14.2294 Å, α = 90.00°, β = 90.00° and γ = 90.00°. The asymmetric unit holds Th at (0.0000, 0.0000, 0.0000), Th at (0.0000, 0.2640, 0.1143), Th at (0.0000, 0.4320, 0.7500), Sn at (0.0000, 0.1119, 0.7500) and Ir at (0.0000, 0.3701, 0.5582).

For the total energy, the calculation gives -226.01 eV for the cell shown. The volume is 820.1 Å³ per cell.

3.
First-principles (PBE) data for a geometry-optimized Th2Sn3Ir4 structure, as listed in Alexandria via LeMat-Bulk.

It has space group Cmce (No. 64), with a = 6.0256 Å, b = 16.7492 Å, c = 7.4048 Å, α = 90.00°, β = 90.00° and γ = 90.00°. The asymmetric unit holds Th at (0.0000, 0.1006, 0.0916), Sn at (0.0000, 0.0000, 0.5000), Sn at (0.2500, 0.2358, 0.7500), Ir at (0.0000, 0.1650, 0.4700) and Ir at (0.2500, 0.0726, 0.7500).

For the total energy, the calculation gives -272.00 eV for the cell shown. The volume is 747.3 Å³ per cell.

4.
First-principles (PBE) data for a geometry-optimized Th4SnIr structure, as listed in Alexandria via LeMat-Bulk.

It has space group Cmcm (No. 63), with a = 5.5326 Å, b = 20.6239 Å, c = 6.4489 Å, α = 90.00°, β = 90.00° and γ = 90.00°. The asymmetric unit holds Th at (0.0000, 0.0520, 0.2500), Th at (0.0000, 0.2052, 0.5012), Th at (0.0000, 0.4021, 0.2500), Sn at (0.0000, 0.3515, 0.7500) and Ir at (0.0000, 0.0817, 0.7500).

For the total energy, the calculation gives -179.56 eV for the cell shown. The volume is 735.8 Å³ per cell.

5.
First-principles (PBE) data for a geometry-optimized ThSnIr4 structure, as listed in Alexandria via LeMat-Bulk.

It has space group F-43m (No. 216), with a = 7.6370 Å, b = 7.6370 Å, c = 7.6370 Å, α = 90.00°, β = 90.00° and γ = 90.00°. The asymmetric unit holds Th at (0.0000, 0.0000, 0.0000), Sn at (0.2500, 0.2500, 0.2500) and Ir at (0.1240, 0.1240, 0.6240).

For the total energy, the calculation gives -198.19 eV for the cell shown. The volume is 445.4 Å³ per cell.

6.
First-principles (PBE) data for a geometry-optimized Th7Sn2Ir2 structure, as listed in Alexandria via LeMat-Bulk.

It has space group Cmmm (No. 65), with a = 8.5419 Å, b = 11.3321 Å, c = 6.9549 Å, α = 90.00°, β = 90.00° and γ = 90.00°. The asymmetric unit holds Th at (0.0000, 0.0000, 0.0000), Th at (0.0000, 0.5000, 0.2432), Th at (0.2500, 0.2500, 0.2645), Sn at (0.1714, 0.0000, 0.5000) and Ir at (0.0000, 0.2652, 0.0000).

For the total energy, the calculation gives -163.63 eV for the cell shown. The volume is 673.2 Å³ per cell.

7.
First-principles (PBE) data for a geometry-optimized Ti4SnIr structure, as listed in Alexandria via LeMat-Bulk.

It has space group P-1 (No. 2), with a = 4.4745 Å, b = 7.2059 Å, c = 7.4508 Å, α = 105.00°, β = 90.00° and γ = 108.04°. The asymmetric unit holds Ti at (0.0574, 0.1150, 0.3558), Ti at (0.1895, 0.3775, 0.1184), Ti at (0.3116, 0.6228, 0.5033), Ti at (0.4304, 0.8613, 0.1372), Sn at (0.1863, 0.3734, 0.7469), Ir at (0.0000, 0.0000, 0.0000) and Ir at (0.5000, 0.0000, 0.5000).

For the total energy, the calculation gives -92.14 eV for the cell shown. The volume is 219.8 Å³ per cell.

8.
First-principles (PBE) data for a geometry-optimized Ti3SnIr structure, as listed in Alexandria via LeMat-Bulk.

It has space group Pm-3m (No. 221), with a = 4.7617 Å, b = 4.7617 Å, c = 4.7617 Å, α = 90.00°, β = 90.00° and γ = 90.00°. The asymmetric unit holds Ti at (0.0000, 0.0000, 0.5000), Sn at (0.5000, 0.5000, 0.5000) and Ir at (0.0000, 0.0000, 0.0000).

For the total energy, the calculation gives -36.33 eV for the cell shown. The calculation puts the energy relative to the lowest polymorph listed for this composition at 389.3 meV/atom. The volume is 108.0 Å³ per cell.

Copy entry 3 word for word.
First-principles (PBE) data for a geometry-optimized Th2Sn3Ir4 structure, as listed in Alexandria via LeMat-Bulk.

It has space group Cmce (No. 64), with a = 6.0256 Å, b = 16.7492 Å, c = 7.4048 Å, α = 90.00°, β = 90.00° and γ = 90.00°. The asymmetric unit holds Th at (0.0000, 0.1006, 0.0916), Sn at (0.0000, 0.0000, 0.5000), Sn at (0.2500, 0.2358, 0.7500), Ir at (0.0000, 0.1650, 0.4700) and Ir at (0.2500, 0.0726, 0.7500).

For the total energy, the calculation gives -272.00 eV for the cell shown. The volume is 747.3 Å³ per cell.

Q: Which value of volume does entry 5 give?
A: 445.4 Å³ per cell